Record 1
Below is La4BiPb2 at its PBEsol-relaxed geometry, with properties calculated at the meta-GGA SCAN level.

Results
N(E_F), states/eV per cell: 24.05
Total moment, μB per cell: 0.00
Crystal system: tetragonal
Uncorrected energy, eV per atom: -58.502

a b c (Å): 9.752 9.752 9.714
angles (deg): 90.00 90.00 90.00
Space group I-42d (No. 122)
One atom of each set of equivalent atoms:
La 0.072 0.178 0.305
Bi 0.000 0.000 0.000
Pb 0.126 0.250 0.625

Record 2
Below is Li2Ni3O6 at its PBEsol-relaxed geometry, with properties calculated at the meta-GGA SCAN level.

Results
Energy relative to the elements, uncorrected, eV/atom: -1.4814
N(E_F), states/eV per cell: 0.94
Total moment, μB per cell: 2.01
Crystal system: triclinic
Uncorrected energy, eV per atom: -9.726

a b c (Å): 2.854 5.713 6.446
angles (deg): 74.32 77.93 88.06
Space group P-1 (No. 2)
One atom of each set of equivalent atoms:
Li 0.159 0.303 0.197
Ni 0.159 0.832 0.169
Ni 0.500 0.500 0.500
O 0.004 0.279 0.522
O 0.304 0.927 0.861
O 0.379 0.412 0.809

Record 3
Below is AgGePt3 at its PBEsol-relaxed geometry, with properties calculated at the meta-GGA SCAN level.

Results
N(E_F), states/eV per cell: 7.04
ΔE to the lowest computed polymorph, meV/atom: 1111.4
Total moment, μB per cell: 0.00
Crystal system: cubic
Uncorrected energy, eV per atom: -50.606

a b c (Å): 4.794 4.794 4.794
angles (deg): 90.00 90.00 90.00
Space group Pm-3m (No. 221)
One atom of each set of equivalent atoms:
Ag 0.000 0.000 0.000
Ge 0.500 0.500 0.500
Pt 0.000 0.000 0.500